(1)
DFT (PBE) results for a relaxed MgAuN crystal.

Computed properties:
Crystal system: monoclinic
Energy in eV per atom: -4.61
Density in kg/m³: 7219

Cell: 4.6145 2.8780 8.4657 Å, 90.00 105.70 90.00°
Last column: nearest neighbours and their distance in Å.
Atoms (fractional coordinates):
Mg 0.1405 0.0000 0.2797  2 N 2.22
Mg 0.8595 0.0000 0.7203  2 N 2.22
Au 0.3032 0.5000 0.6067  6 Mg 2.87-3.03, 4 Au 2.88-2.89
Au 0.6968 0.5000 0.3933  6 Mg 2.87-3.03, 4 Au 2.88-2.89
N 0.0366 0.5000 0.0726  1 N 1.18
N 0.9634 0.5000 0.9274  1 N 1.18

=====

(2)
DFT (PBE) results for a relaxed MgAuN crystal.

Computed properties:
Crystal system: monoclinic
Energy in eV per atom: -4.56
Density in kg/m³: 6956

Cell: 9.4586 3.0099 8.2007 Å, 90.00 105.79 90.00°
Last column: nearest neighbours and their distance in Å.
Atoms (fractional coordinates):
Mg 0.0327 0.0000 0.2782  2 N 2.22
Mg 0.4673 0.5000 0.7218  2 N 2.22
Mg 0.5327 0.5000 0.2782  2 N 2.22
Mg 0.9673 0.0000 0.7218  2 N 2.22
Au 0.1578 0.5000 0.5844  5 Mg 2.81-2.89, 5 Au 2.92-3.01
Au 0.3422 0.0000 0.4156  5 Mg 2.81-2.89, 5 Au 2.92-3.01
Au 0.6578 0.0000 0.5844  5 Mg 2.81-2.89, 5 Au 2.92-3.01
Au 0.8422 0.5000 0.4156  5 Mg 2.81-2.89, 5 Au 2.92-3.01
N 0.0144 0.5000 0.0753  1 N 1.19
N 0.4856 0.0000 0.9247  1 N 1.19
N 0.5144 0.0000 0.0753  1 N 1.19
N 0.9856 0.5000 0.9247  1 N 1.19

=====

(3)
DFT (PBE) results for a relaxed MgAuN3 crystal.

Computed properties:
Crystal system: cubic
Energy in eV per atom: -3.86
Density in kg/m³: 7074

Cell: 3.9537 3.9537 3.9537 Å, 90.00 90.00 90.00°
Last column: nearest neighbours and their distance in Å.
Atoms (fractional coordinates):
Mg 0.0000 0.0000 0.0000  6 N 1.98
Au 0.5000 0.5000 0.5000  12 N 2.80
N 0.0000 0.0000 0.5000  2 Mg 1.98
N 0.0000 0.5000 0.0000  2 Mg 1.98
N 0.5000 0.0000 0.0000  2 Mg 1.98

=====

(4)
DFT (PBE) results for a relaxed Mg3AuN crystal.

Computed properties:
Crystal system: cubic
Energy in eV per atom: -3.87
Density in kg/m³: 6023

Cell: 4.2776 4.2776 4.2776 Å, 90.00 90.00 90.00°
Last column: nearest neighbours and their distance in Å.
Atoms (fractional coordinates):
Mg 0.0000 0.0000 0.5000  2 N 2.14
Mg 0.0000 0.5000 0.0000  2 N 2.14
Mg 0.5000 0.0000 0.0000  2 N 2.14
Au 0.5000 0.5000 0.5000  12 Mg 3.02
N 0.0000 0.0000 0.0000  6 Mg 2.14

=====

(5)
DFT (PBE) results for a relaxed MgAuN crystal.

Computed properties:
Crystal system: orthorhombic
Energy in eV per atom: -4.27
Density in kg/m³: 4774

Cell: 6.9868 7.6731 6.1066 Å, 90.00 90.00 90.00°
Last column: nearest neighbours and their distance in Å.
Atoms (fractional coordinates):
Mg 0.0000 0.0000 0.0000  2 N 1.96
Mg 0.0000 0.5000 0.0000  2 N 1.96
Mg 0.5000 0.0000 0.5000  2 N 1.96
Mg 0.5000 0.5000 0.5000  2 N 1.96
Au 0.2500 0.2500 0.2500  2 N 2.08
Au 0.2500 0.7500 0.7500  2 N 2.08
Au 0.7500 0.2500 0.2500  2 N 2.08
Au 0.7500 0.7500 0.7500  2 N 2.08
N 0.0000 0.2500 0.0654  2 Mg 1.96, 2 Au 2.08
N 0.0000 0.7500 0.9346  2 Mg 1.96, 2 Au 2.08
N 0.5000 0.2500 0.4346  2 Mg 1.96, 2 Au 2.08
N 0.5000 0.7500 0.5654  2 Mg 1.96, 2 Au 2.08

=====

(6)
DFT (PBE) results for a relaxed MgAuN crystal.

Computed properties:
Crystal system: orthorhombic
Energy in eV per atom: -4.38
Density in kg/m³: 8948

Cell: 10.0896 3.2165 5.3814 Å, 90.00 90.00 90.00°
Last column: nearest neighbours and their distance in Å.
Atoms (fractional coordinates):
Mg 0.1719 0.2500 0.1309  3 N 2.10-2.12
Mg 0.3281 0.7500 0.6309  3 N 2.10-2.12
Mg 0.6719 0.2500 0.3691  3 N 2.10-2.12
Mg 0.8281 0.7500 0.8691  3 N 2.10-2.12
Au 0.0633 0.2500 0.6523  2 N 2.25
Au 0.4367 0.7500 0.1523  2 N 2.25
Au 0.5633 0.2500 0.8477  2 N 2.25
Au 0.9367 0.7500 0.3477  2 N 2.25
N 0.1652 0.7500 0.8742  3 Mg 2.10-2.12, 2 Au 2.25
N 0.3348 0.2500 0.3742  3 Mg 2.10-2.12, 2 Au 2.25
N 0.6652 0.7500 0.6258  3 Mg 2.10-2.12, 2 Au 2.25
N 0.8348 0.2500 0.1258  3 Mg 2.10-2.12, 2 Au 2.25